TiCrAg3 | PBE | relaxed

Values from the calculation:
* calculated formation energy: 5.663 eV per formula unit
* E above lowest polymorph: 0 meV per atom
* D(E_F): 3.9 states/eV/f.u.

Cell lengths 4.877, 4.877, 4.877 Å; angles 90.00, 90.00, 90.00 degrees
Space group Pm-3m (No. 221)
Inequivalent atoms, fractional coordinates:
Ti 0.000 0.000 0.000 [1 per cell]
Cr 0.500 0.500 0.500 [1 per cell]
Ag 0.000 0.500 0.500 [3 per cell]



Al2CuP | PBE | relaxed

Values from the calculation:
* calculated formation energy: 0.008 eV per formula unit
* D(E_F): 1.1 states/eV/f.u.

Cell lengths 3.371, 3.500, 10.686 Å; angles 90.00, 90.00, 90.00 degrees
Space group Imm2 (No. 44)
Inequivalent atoms, fractional coordinates:
Al 0.000 0.000 0.000 [2 per cell]
Al 0.000 0.500 0.208 [2 per cell]
Cu 0.000 0.500 0.800 [2 per cell]
P 0.000 0.000 0.466 [2 per cell]



Al3SeN | PBE | relaxed

Values from the calculation:
* E above lowest polymorph: 0 meV per atom
* raw formation energy: 140 meV per atom
* D(E_F): 1.5 states/eV/f.u.

Cell lengths 4.276, 4.276, 4.276 Å; angles 90.00, 90.00, 90.00 degrees
Space group Pm-3m (No. 221)
Inequivalent atoms, fractional coordinates:
Al 0.000 0.000 0.500 [3 per cell]
Se 0.500 0.500 0.500 [1 per cell]
N 0.000 0.000 0.000 [1 per cell]



Ac4LaSn4 | PBE | relaxed

Values from the calculation:
* calculated formation energy: -4.298 eV per formula unit
* D(E_F): 8.9 states/eV/f.u.

Cell lengths 10.130, 10.130, 6.813 Å; angles 90.00, 90.00, 90.00 degrees
Space group P4_2/n (No. 86, origin choice 2)
Inequivalent atoms, fractional coordinates:
Ac 0.042 0.670 0.120 [8 per cell]
La 0.250 0.250 0.250 [2 per cell]
Sn 0.019 0.636 0.611 [8 per cell]



LiNdSc2Au4 | PBE | relaxed

Values from the calculation:
* calculated formation energy: -5.735 eV per formula unit
* D(E_F): 3.5 states/eV/f.u.

Cell lengths 4.7599, 4.7599, 25.3309 Å; angles 90.00, 90.00, 120.00 degrees
Space group R-3m (No. 166, hexagonal axes)
Inequivalent atoms, fractional coordinates:
Li 0.0000 0.0000 0.0000 [3 per cell]
Nd 0.0000 0.0000 0.5000 [3 per cell]
Sc 0.0000 0.0000 0.2625 [6 per cell]
Au 0.0000 0.0000 0.1044 [6 per cell]
Au 0.0000 0.0000 0.3754 [6 per cell]



Rb2ZrNbP | PBE | relaxed

Values from the calculation:
* calculated formation energy: 7.957 eV per formula unit
* D(E_F): 5.6 states/eV/f.u.

Cell lengths 6.374, 6.374, 5.046 Å; angles 90.00, 90.00, 90.00 degrees
Space group P4/mmm (No. 123)
Inequivalent atoms, fractional coordinates:
Rb 0.000 0.500 0.000 [2 per cell]
Zr 0.000 0.000 0.500 [1 per cell]
Nb 0.000 0.000 0.000 [1 per cell]
P 0.500 0.500 0.500 [1 per cell]



La2ReIr | PBE | relaxed

Values from the calculation:
* calculated formation energy: 0.473 eV per formula unit
* E above lowest polymorph: 275 meV per atom
* D(E_F): 4.9 states/eV/f.u.

Cell lengths 7.037, 7.039, 3.712 Å; angles 90.00, 90.16, 90.00 degrees
Space group C2/m (No. 12)
Inequivalent atoms, fractional coordinates:
La 0.250 0.250 0.000 [4 per cell]
Re 0.000 0.000 0.500 [2 per cell]
Ir 0.000 0.500 0.500 [2 per cell]



Sm3ErH | PBE | relaxed

Values from the calculation:
* VASP energy: -0.1683 hartree per atom
* D(E_F): 5.4 states/eV/f.u.

Cell lengths 5.069, 5.069, 5.069 Å; angles 90.00, 90.00, 90.00 degrees
Space group Pm-3m (No. 221)
Inequivalent atoms, fractional coordinates:
Sm 0.000 0.000 0.500 [3 per cell]
Er 0.500 0.500 0.500 [1 per cell]
H 0.000 0.000 0.000 [1 per cell]



YPt3 | PBE | relaxed

Values from the calculation:
* calculated formation energy: -0.525 eV per formula unit
* D(E_F): 6.5 states/eV/f.u.

Cell lengths 3.0199, 3.0199, 9.1890 Å; angles 90.00, 90.00, 120.00 degrees
Space group P-6m2 (No. 187)
Inequivalent atoms, fractional coordinates:
Y 0.0000 0.0000 0.0000 [1 per cell]
Pt 0.0000 0.0000 0.5000 [1 per cell]
Pt 0.6667 0.3333 0.2532 [2 per cell]



ScAsP2 | PBE | relaxed

Values from the calculation:
* calculated formation energy: -1.930 eV per formula unit
* D(E_F): 0.6 states/eV/f.u.

Cell lengths 4.019, 3.682, 5.302 Å; angles 90.00, 107.28, 90.00 degrees
Space group P2/m (No. 10)
Inequivalent atoms, fractional coordinates:
Sc 0.000 0.000 0.000 [1 per cell]
As 0.500 0.000 0.500 [1 per cell]
P 0.326 0.500 0.792 [2 per cell]



CuRhCl2 | PBE | relaxed

Values from the calculation:
* E above lowest polymorph: 513 meV per atom
* raw formation energy: 335 meV per atom
* D(E_F): 3.3 states/eV/f.u.

Cell lengths 4.467, 4.467, 3.147 Å; angles 90.00, 90.00, 90.00 degrees
Space group P4/mmm (No. 123)
Inequivalent atoms, fractional coordinates:
Cu 0.000 0.000 0.000 [1 per cell]
Rh 0.500 0.500 0.000 [1 per cell]
Cl 0.000 0.500 0.500 [2 per cell]



Lu3MgP | PBE | relaxed

Values from the calculation:
* calculated formation energy: -2.223 eV per formula unit
* D(E_F): 6.3 states/eV/f.u.

Cell lengths 5.188, 5.188, 5.188 Å; angles 90.00, 90.00, 90.00 degrees
Space group Pm-3m (No. 221)
Inequivalent atoms, fractional coordinates:
Lu 0.000 0.000 0.500 [3 per cell]
Mg 0.500 0.500 0.500 [1 per cell]
P 0.000 0.000 0.000 [1 per cell]